Record 1
Material: Ba2ZrCd
Method: DFT, PBEsol
State: optimized geometry

As for the formation energy: 388 meV per atom. The mass density comes out at 6.00 g/cm3. The volume comes out at 33.1 Å³ per atom. The calculated total energy comes out at -39.1 eV per cell. The total moment comes out at 0.000 μB/atom.

Cell lengths 3.6484, 3.6484, 34.4731 Å; angles 90.00, 90.00, 120.00 degrees
With the nearest neighbours (Å) after each atom.
Space group R-3m (No. 166, hexagonal axes)
Unique sites:
Ba 0.0000 0.0000 0.2503  3 Cd 3.55, 3 Zr 3.57, 6 Ba 3.65
Zr 0.0000 0.0000 0.5000  6 Ba 3.57, 6 Zr 3.65
Cd 0.0000 0.0000 0.0000  6 Ba 3.55, 6 Cd 3.65

***

Record 2
Material: KLiTa2Cd
Method: DFT, PBEsol
State: optimized geometry

As for the formation energy: 1952 meV per atom. The mass density comes out at 5.47 g/cm3. The volume comes out at 31.6 Å³ per atom. The calculated total energy comes out at -19.6 eV per cell. The total moment comes out at 0.433 μB/atom.

Cell lengths 5.1030, 5.1030, 6.0632 Å; angles 90.00, 90.00, 90.00 degrees
With the nearest neighbours (Å) after each atom.
Space group P4/mmm (No. 123)
Unique sites:
K 0.0000 0.0000 0.0000  2 Cd 3.03
Li 0.5000 0.5000 0.0000  4 K 3.61, 8 Ta 3.96
Ta 0.0000 0.5000 0.5000  2 Cd 2.55
Cd 0.0000 0.0000 0.5000  4 Ta 2.55

***

Record 3
Material: FePN2O
Method: DFT, PBEsol
State: optimized geometry

The mass density comes out at 5.23 g/cm3. The volume comes out at 8.3 Å³ per atom. The calculated total energy comes out at -36.0 eV per cell. The total moment comes out at 0.864 μB/atom. For the raw formation energy, the calculation gives 215 meV/atom.

Cell lengths 3.4759, 3.4759, 3.4401 Å; angles 90.00, 90.00, 90.00 degrees
With the nearest neighbours (Å) after each atom.
Space group P4/mmm (No. 123)
Unique sites:
Fe 0.0000 0.0000 0.0000  8 N 2.45, 4 O 2.46
P 0.5000 0.5000 0.5000  2 O 1.72, 4 N 1.74
N 0.0000 0.5000 0.5000  2 P 1.74
O 0.5000 0.5000 0.0000  2 P 1.72

***

Record 4
Material: TlB3Te
Method: DFT, PBEsol
State: optimized geometry

The mass density comes out at 6.44 g/cm3. The volume comes out at 18.8 Å³ per atom. The calculated total energy comes out at -16.0 eV per cell. The total moment comes out at 0.000 μB/atom. For the raw formation energy, the calculation gives 2244 meV/atom.

Cell lengths 4.5463, 4.5463, 4.5463 Å; angles 90.00, 90.00, 90.00 degrees
With the nearest neighbours (Å) after each atom.
Space group Pm-3m (No. 221)
Unique sites:
Tl 0.0000 0.0000 0.0000  6 B 2.27
B 0.0000 0.0000 0.5000  2 Tl 2.27
Te 0.5000 0.5000 0.5000  12 B 3.21

***

Record 5
Material: CsTmNb6Br18
Method: DFT, PBEsol
State: optimized geometry

The mass density comes out at 5.26 g/cm3. The volume comes out at 27.9 Å³ per atom. The calculated total energy comes out at -268.2 eV per cell. The total moment comes out at 0.000 μB/atom. For the raw formation energy, the calculation gives -1142 meV/atom.

Cell lengths 9.6522, 9.6522, 17.9954 Å; angles 90.00, 90.00, 120.00 degrees
With the nearest neighbours (Å) after each atom.
Space group P-31c (No. 163)
Unique sites:
Cs 0.3333 0.6667 0.2500  12 Br 3.93-3.99
Tm 0.3333 0.6667 0.7500  6 Br 2.76
Nb 0.0389 0.1915 0.5664  5 Br 2.57-2.88
Br 0.0463 0.2355 0.3376  2 Nb 2.57-2.59
Br 0.0843 0.4502 0.6622  1 Tm 2.76, 1 Nb 2.88
Br 0.1415 0.4226 0.0006  2 Nb 2.58-2.59

***

Record 6
Material: Er4Ga21Ni10
Method: DFT, PBEsol
State: optimized geometry

As for the formation energy: -569 meV per atom. The mass density comes out at 8.78 g/cm3. The volume comes out at 14.7 Å³ per atom. The calculated total energy comes out at -342.7 eV per cell. The total moment comes out at 0.000 μB/atom.

Cell lengths 20.5308, 4.0122, 15.2018 Å; angles 90.00, 124.75, 90.00 degrees
With the nearest neighbours (Å) after each atom.
Space group C2/m (No. 12)
Unique sites:
Er 0.1204 0.0000 0.3332  10 Ga 2.83-3.14, 4 Ni 2.95-3.05
Er 0.2295 0.0000 0.8241  10 Ga 2.83-3.15, 4 Ni 3.03-3.10
Ga 0.0000 0.5000 0.5000  4 Ni 2.45, 4 Ga 2.57-2.61
Ga 0.0068 0.0000 0.0913  4 Ni 2.49-2.72, 3 Ga 2.63-2.71
Ga 0.0405 0.5000 0.3683  3 Ni 2.42-2.55, 1 Ga 2.57
Ga 0.0651 0.0000 0.7958  5 Ni 2.49-2.54, 1 Ga 2.77
Ga 0.1015 0.5000 0.9980  4 Ni 2.36-2.43
Ga 0.1145 0.5000 0.7039  3 Ni 2.44-2.56, 2 Ga 2.61-2.71
Ga 0.1173 0.0000 0.5529  3 Ni 2.33-2.51
Ga 0.1269 0.5000 0.1951  4 Ni 2.48-2.53, 1 Ga 2.73
Ga 0.2010 0.0000 0.0031  4 Ni 2.47-2.59
Ga 0.2023 0.5000 0.5028  3 Ni 2.45-2.48, 2 Ga 2.65-2.73
Ga 0.2484 0.0000 0.2938  3 Ni 2.43-2.47, 1 Ga 2.65
Ni 0.0024 0.5000 0.1857  7 Ga 2.36-2.54
Ni 0.0241 0.0000 0.6065  9 Ga 2.45-2.56
Ni 0.1335 0.0000 0.1044  7 Ga 2.42-2.59
Ni 0.1527 0.5000 0.8881  7 Ga 2.43-2.52, 1 Ni 2.71
Ni 0.2495 0.5000 0.3848  7 Ga 2.33-2.53

***

Record 7
Material: BeCuRh2
Method: DFT, PBEsol
State: optimized geometry

As for the formation energy: 12 meV per atom. The mass density comes out at 9.52 g/cm3. The volume comes out at 12.1 Å³ per atom. The calculated total energy comes out at -49.1 eV per cell. The total moment comes out at 0.000 μB/atom.

Cell lengths 5.1678, 8.0347, 2.6099 Å; angles 90.00, 116.29, 90.00 degrees
With the nearest neighbours (Å) after each atom.
Space group C2/m (No. 12)
Unique sites:
Be 0.0000 0.0000 0.0000  4 Rh 2.43, 2 Cu 2.58, 2 Be 2.61
Cu 0.0000 0.5000 0.0000  4 Rh 2.43, 2 Be 2.58, 2 Cu 2.61
Rh 0.2500 0.2500 0.5000  2 Cu 2.43, 2 Be 2.43, 4 Rh 2.58-2.61

***

Record 8
Material: MnOs3Cl
Method: DFT, PBEsol
State: optimized geometry

The mass density comes out at 13.84 g/cm3. The volume comes out at 15.9 Å³ per atom. The calculated total energy comes out at -38.9 eV per cell. The total moment comes out at 0.851 μB/atom. For the raw formation energy, the calculation gives 1906 meV/atom.

Cell lengths 4.2970, 4.2970, 4.2970 Å; angles 90.00, 90.00, 90.00 degrees
With the nearest neighbours (Å) after each atom.
Space group Pm-3m (No. 221)
Unique sites:
Mn 0.0000 0.0000 0.0000  12 Os 3.04
Os 0.0000 0.5000 0.5000  2 Cl 2.15
Cl 0.5000 0.5000 0.5000  6 Os 2.15

***

Record 9
Material: TePt3
Method: DFT, PBEsol
State: optimized geometry

The mass density comes out at 17.46 g/cm3. The volume comes out at 16.9 Å³ per atom. The calculated total energy comes out at -24.1 eV per cell. The total moment comes out at 0.000 μB/atom. For the raw formation energy, the calculation gives 88 meV/atom.

Cell lengths 3.3459, 4.3429, 4.6648 Å; angles 90.00, 90.00, 90.00 degrees
With the nearest neighbours (Å) after each atom.
Space group Pmm2 (No. 25)
Unique sites:
Te 0.0000 0.0000 0.0000  10 Pt 2.78-2.90
Pt 0.0000 0.5000 0.6266  2 Te 2.78, 8 Pt 2.80-2.91
Pt 0.5000 0.0000 0.5070  6 Pt 2.77-2.80, 4 Te 2.84-2.90
Pt 0.5000 0.5000 0.1378  6 Pt 2.77-2.91, 4 Te 2.82

***

Record 10
Material: NiPbSe4
Method: DFT, PBEsol
State: optimized geometry

The mass density comes out at 7.52 g/cm3. The volume comes out at 21.4 Å³ per atom. The calculated total energy comes out at -86.5 eV per cell. The total moment comes out at 0.140 μB/atom. For the raw formation energy, the calculation gives 657 meV/atom.

Cell lengths 8.0111, 8.0111, 8.0111 Å; angles 90.00, 90.00, 90.00 degrees
With the nearest neighbours (Å) after each atom.
Space group F-43m (No. 216)
Unique sites:
Ni 0.0000 0.0000 0.0000  12 Se 3.32, 4 Pb 3.47
Pb 0.2500 0.2500 0.2500  12 Se 3.32, 4 Ni 3.47
Se 0.1263 0.1263 0.6263  6 Se 2.80-2.86

***

Record 11
Material: NaRe2PdPb
Method: DFT, PBEsol
State: optimized geometry

As for the formation energy: 2492 meV per atom. The mass density comes out at 12.39 g/cm3. The volume comes out at 19.0 Å³ per atom. The calculated total energy comes out at -25.6 eV per cell. The total moment comes out at 0.729 μB/atom.

Cell lengths 4.6354, 4.6354, 4.4218 Å; angles 90.00, 90.00, 90.00 degrees
With the nearest neighbours (Å) after each atom.
Space group P4/mmm (No. 123)
Unique sites:
Na 0.0000 0.0000 0.0000  2 Pd 2.21, 4 Re 2.32
Re 0.0000 0.5000 0.0000  2 Na 2.32
Pd 0.0000 0.0000 0.5000  2 Na 2.21
Pb 0.5000 0.5000 0.5000  8 Re 3.20, 4 Pd 3.28

***

Record 12
Material: Ca2PtBr
Method: DFT, PBEsol
State: optimized geometry

The mass density comes out at 5.60 g/cm3. The volume comes out at 26.3 Å³ per atom. For the relative energy among the computed polymorphs, the calculation gives 0.00 kJ per mole of atoms. The calculated total energy comes out at -53.2 eV per cell. The total moment comes out at 0.000 μB/atom. For the raw formation energy, the calculation gives -1159 meV/atom.

Cell lengths 4.0611, 4.0611, 22.1086 Å; angles 90.00, 90.00, 120.00 degrees
With the nearest neighbours (Å) after each atom.
Space group R-3m (No. 166, hexagonal axes)
Unique sites:
Ca 0.0000 0.0000 0.2369  3 Pt 2.81
Pt 0.0000 0.0000 0.5000  6 Ca 2.81
Br 0.0000 0.0000 0.0000  6 Ca 3.17

***

Record 13
Material: Zn2MoHIr
Method: DFT, PBEsol
State: optimized geometry

The mass density comes out at 11.79 g/cm3. The volume comes out at 11.8 Å³ per atom. The calculated total energy comes out at -26.7 eV per cell. The total moment comes out at 0.020 μB/atom.

Cell lengths 4.0699, 4.0699, 3.5703 Å; angles 90.00, 90.00, 90.00 degrees
With the nearest neighbours (Å) after each atom.
Space group P4/mmm (No. 123)
Unique sites:
Zn 0.0000 0.5000 0.0000  2 H 2.03
Mo 0.0000 0.0000 0.5000  8 Zn 2.71, 4 Ir 2.88
H 0.5000 0.5000 0.0000  2 Ir 1.79
Ir 0.5000 0.5000 0.5000  2 H 1.79

***

Record 14
Material: AlBi3Os
Method: DFT, PBEsol
State: optimized geometry

As for the formation energy: 891 meV per atom. The mass density comes out at 9.58 g/cm3. The volume comes out at 29.3 Å³ per atom. The calculated total energy comes out at -24.7 eV per cell. The total moment comes out at 0.000 μB/atom.

Cell lengths 5.2697, 5.2697, 5.2697 Å; angles 90.00, 90.00, 90.00 degrees
With the nearest neighbours (Å) after each atom.
Space group Pm-3m (No. 221)
Unique sites:
Al 0.0000 0.0000 0.0000  12 Bi 3.73
Bi 0.0000 0.5000 0.5000  2 Os 2.63
Os 0.5000 0.5000 0.5000  6 Bi 2.63

***

Record 15
Material: TeMo2Br
Method: DFT, PBEsol
State: optimized geometry

The mass density comes out at 8.86 g/cm3. The volume comes out at 18.7 Å³ per atom. For the relative energy among the computed polymorphs, the calculation gives 0.00 kJ per mole of atoms. The calculated total energy comes out at -50.6 eV per cell. The total moment comes out at 0.002 μB/atom. For the raw formation energy, the calculation gives 908 meV/atom.

Cell lengths 3.1755, 5.4856, 8.5900 Å; angles 90.00, 90.00, 90.00 degrees
With the nearest neighbours (Å) after each atom.
Space group Cmmm (No. 65)
Unique sites:
Te 0.0000 0.0000 0.0000  4 Mo 2.65
Mo 0.0000 0.5000 0.2465  2 Te 2.65, 2 Br 2.69
Br 0.0000 0.0000 0.5000  4 Mo 2.69

***

Record 16
Material: ReRu3Pb
Method: DFT, PBEsol
State: optimized geometry

As for the formation energy: 1527 meV per atom. The mass density comes out at 11.47 g/cm3. The volume comes out at 20.2 Å³ per atom. For the relative energy among the computed polymorphs, the calculation gives 0.00 kJ per mole of atoms. The calculated total energy comes out at -40.2 eV per cell. The total moment comes out at 0.000 μB/atom.

Cell lengths 4.6541, 4.6541, 4.6541 Å; angles 90.00, 90.00, 90.00 degrees
With the nearest neighbours (Å) after each atom.
Space group Pm-3m (No. 221)
Unique sites:
Re 0.0000 0.0000 0.0000  6 Ru 2.33
Ru 0.0000 0.0000 0.5000  2 Re 2.33
Pb 0.5000 0.5000 0.5000  12 Ru 3.29

***

Record 17
Material: CaLaY2
Method: DFT, PBEsol
State: optimized geometry

As for the formation energy: 165 meV per atom. The mass density comes out at 4.41 g/cm3. The volume comes out at 33.6 Å³ per atom. For the relative energy among the computed polymorphs, the calculation gives 9.74 kJ per mole of atoms. The calculated total energy comes out at -81.9 eV per cell. The total moment comes out at 0.001 μB/atom.

Cell lengths 8.1309, 8.1309, 8.1309 Å; angles 90.00, 90.00, 90.00 degrees
With the nearest neighbours (Å) after each atom.
Space group Fm-3m (No. 225)
Unique sites:
Ca 0.0000 0.0000 0.0000  8 Y 3.52
La 0.0000 0.0000 0.5000  8 Y 3.52
Y 0.2500 0.2500 0.2500  4 La 3.52, 4 Ca 3.52

***

Record 18
Material: CsBaAs2Br
Method: DFT, PBEsol
State: optimized geometry

The mass density comes out at 4.30 g/cm3. The volume comes out at 38.6 Å³ per atom. The calculated total energy comes out at -14.6 eV per cell. The total moment comes out at 0.001 μB/atom. For the raw formation energy, the calculation gives 117 meV/atom.

Cell lengths 5.5466, 5.5466, 6.2769 Å; angles 90.00, 90.00, 90.00 degrees
With the nearest neighbours (Å) after each atom.
Space group P4/mmm (No. 123)
Unique sites:
Cs 0.0000 0.0000 0.0000  4 As 2.77
Ba 0.5000 0.5000 0.5000  4 Br 3.92, 8 As 4.19
As 0.0000 0.5000 0.0000  2 Cs 2.77
Br 0.0000 0.0000 0.5000  2 Cs 3.14

***

Record 19
Material: HfZn2OsI
Method: DFT, PBEsol
State: optimized geometry

The mass density comes out at 9.24 g/cm3. The volume comes out at 22.5 Å³ per atom. The calculated total energy comes out at -22.0 eV per cell. The total moment comes out at 0.000 μB/atom. For the raw formation energy, the calculation gives 1121 meV/atom.

Cell lengths 4.6548, 4.6548, 5.1944 Å; angles 90.00, 90.00, 90.00 degrees
With the nearest neighbours (Å) after each atom.
Space group P4/mmm (No. 123)
Unique sites:
Hf 0.0000 0.0000 0.0000  4 I 3.29, 8 Zn 3.49
Zn 0.0000 0.5000 0.5000  2 Os 2.33
Os 0.5000 0.5000 0.5000  4 Zn 2.33, 2 I 2.60
I 0.5000 0.5000 0.0000  2 Os 2.60

***

Record 20
Material: HgGeW2Au
Method: DFT, PBEsol
State: optimized geometry

As for the formation energy: 1762 meV per atom. The mass density comes out at 13.66 g/cm3. The volume comes out at 20.4 Å³ per atom. The calculated total energy comes out at -28.2 eV per cell. The total moment comes out at 0.000 μB/atom.

Cell lengths 4.6138, 4.6138, 4.7843 Å; angles 90.00, 90.00, 90.00 degrees
With the nearest neighbours (Å) after each atom.
Space group P4/mmm (No. 123)
Unique sites:
Hg 0.0000 0.0000 0.0000  2 Ge 2.39
Ge 0.0000 0.0000 0.5000  4 W 2.31, 2 Hg 2.39
W 0.0000 0.5000 0.5000  2 Ge 2.31
Au 0.5000 0.5000 0.0000  4 Hg 3.26, 8 W 3.32